Density functional theory data (GGA-PBE) for an optimized crystal structure of Si2AsRu.

Calculated values
Magnetization in μB per atom: 0.0000
Total DFT energy (no corrections) in Ry per atom: -0.4386
Formation energy from raw total energies in eV/f.u.: 0.9

a = 4.491 Å, b = 4.491 Å, c = 2.988 Å
α = 90.00°, β = 90.00°, γ = 106.00°
Sites, in units of the cell vectors:
As 0.500 0.000 0.500
Ru 0.000 0.500 0.500
Si 0.000 0.000 0.000
Si 0.500 0.500 0.000